# La4TmTl2

A geometry-optimized La4TmTl2 structure (PBE-GGA, Alexandria).

```
La4TmTl2
1.0
4.502 -5.299 0.000
4.502 5.299 0.000
0.000 0.000 4.999
La Tm Tl
4 1 2
direct
0.000 0.500 0.500
0.208 0.208 0.000
0.500 0.000 0.500
0.792 0.792 0.000
0.500 0.500 0.500
0.289 0.711 0.000
0.711 0.289 0.000
```

## Properties
**DFT total energy**: -30.142 eV per cell
**Relative energy among the computed polymorphs**: 0 meV/atom
**Crystal system**: orthorhombic
**Symmetry**: Cmmm
**ΔE_f**: -1.23 eV/f.u.

=====

# ZnTe

A geometry-optimized ZnTe structure (PBE-GGA, Alexandria).

```
ZnTe
1.0
4.335 0.000 0.000
-2.167 3.754 0.000
0.000 0.000 7.709
Zn Te
2 2
direct
0.333 0.667 0.121
0.667 0.333 0.879
0.333 0.667 0.755
0.667 0.333 0.245
```

## Properties
**DFT total energy**: -10.334 eV per cell
**Crystal system**: trigonal
**Symmetry**: P-3m1
**Formation energy (no corrections)**: -0.376 eV per atom

=====

# Tb5Zn

A geometry-optimized Tb5Zn structure (PBE-GGA, Alexandria).

```
Tb5Zn
1.0
2.985 -5.154 0.000
2.985 5.154 0.000
-2.043 0.000 5.612
Tb Zn
5 1
direct
0.000 0.000 0.000
0.168 0.832 0.500
0.340 0.660 0.000
0.660 0.340 0.000
0.832 0.168 0.500
0.500 0.500 0.500
```

## Properties
**DFT total energy**: -24.190 eV per cell
**Relative energy among the computed polymorphs**: 43 meV/atom
**Crystal system**: monoclinic
**Symmetry**: C2/m
**ΔE_f**: 0.24 eV/f.u.